Computed, not measured: a relaxed DyGa6 crystal at the PBE level of DFT.

Output
**Calculated density**: 5.717 Mg/m³
**Energy above the lowest structure with this stoichiometry**: 0.4727 eV per atom
**Magnetic moment**: 0.0 Bohr magnetons per cell
**Space-group type**: No. 229
**E_form**: 111 kJ/mol of formula units

```
DyGa6
1.0
-3.4809 3.4809 3.4809
3.4809 -3.4809 3.4809
3.4809 3.4809 -3.4809
Dy Ga
1 6
direct
0.0000 0.0000 0.0000 Dy
0.2500 0.5000 0.7500 Ga
0.2500 0.7500 0.5000 Ga
0.5000 0.2500 0.7500 Ga
0.5000 0.7500 0.2500 Ga
0.7500 0.2500 0.5000 Ga
0.7500 0.5000 0.2500 Ga
```